This record from Alexandria describes a relaxed TmFe2O4 crystal. The functional is GGA+U.

```
TmFe2O4
1.0
5.820 0.000 0.000
-1.909 5.555 0.000
-2.051 -2.687 4.994
Tm Fe O
2 4 8
Cartesian
-0.526 0.369 2.056
2.386 2.500 2.938
-0.954 2.778 0.000
2.910 0.000 0.000
1.884 -1.343 2.497
1.956 2.778 0.000
-1.583 1.027 3.867
-0.938 4.703 0.902
0.070 -1.574 3.449
0.408 2.238 1.412
1.452 0.630 3.582
1.790 4.442 1.545
2.798 -1.834 4.092
3.443 1.841 1.127
```

Output
E (eV for the cell shown): -100.9
Density of states at the Fermi level (states/eV per atom): 0.09
Energy above the lowest structure with this stoichiometry (meV/atom): 29.2
V (A^3/atom): 11.5